{"formula": "CaTb5Nd4", "functional": "PBE-GGA", "state": "relaxed", "sg": "C2/m", "formation_energy_ev_per_atom": 0.036, "e_tot_ev_per_cell": -43.87, "dos_at_fermi_per_ev_cell": 13.1, "mass_density_g_cm3": 6.895, "lattice": [[7.917, -1.815, 0.000], [7.917, 1.815, 0.000], [-2.485, 0.000, 11.832]], "species": ["Ca", "Tb", "Tb", "Tb", "Tb", "Tb", "Nd", "Nd", "Nd", "Nd"], "fractional_positions": [[0.000, 0.000, 0.000], [0.102, 0.102, 0.302], [0.292, 0.292, 0.897], [0.500, 0.500, 0.500], [0.708, 0.708, 0.103], [0.898, 0.898, 0.698], [0.200, 0.200, 0.600], [0.400, 0.400, 0.207], [0.600, 0.600, 0.793], [0.800, 0.800, 0.400]]}


{"formula": "SmZn4Sn", "functional": "PBE-GGA", "state": "relaxed", "sg": "F-43m", "formation_energy_ev_per_atom": -0.166, "e_tot_ev_per_cell": -14.82, "dos_at_fermi_per_ev_cell": 2.0, "mass_density_g_cm3": 7.422, "lattice": [[0.000, 3.901, 3.901], [3.901, 0.000, 3.901], [3.901, 3.901, 0.000]], "species": ["Sm", "Zn", "Zn", "Zn", "Zn", "Sn"], "fractional_positions": [[0.000, 0.000, 0.000], [0.375, 0.375, 0.375], [0.375, 0.375, 0.875], [0.375, 0.875, 0.375], [0.875, 0.375, 0.375], [0.750, 0.750, 0.750]]}